Here is crystalline CeSm3Th2 at its relaxed geometry from Alexandria. Energies are from PBE.

abc: 3.5691 11.1183 11.2127
angles: 63.64 80.84 80.76
With the nearest neighbours (Å) after each atom.
Positions (direct):
Ce 0.6051 0.0150 0.7749  5 Th 3.46-3.54, 2 Ce 3.57, 5 Sm 3.57-3.77
Ce 0.3949 0.9850 0.2251  5 Th 3.46-3.54, 2 Ce 3.57, 5 Sm 3.57-3.77
Sm 0.7251 0.1505 0.3993  7 Sm 3.56-3.63, 2 Th 3.61, 3 Ce 3.63-3.77
Sm 0.9445 0.6838 0.4273  1 Th 3.57, 9 Sm 3.57-3.65, 2 Ce 3.57
Sm 0.6151 0.5096 0.2602  5 Th 3.52-3.62, 7 Sm 3.56-3.65
Sm 0.2749 0.8495 0.6007  7 Sm 3.56-3.63, 2 Th 3.61, 3 Ce 3.63-3.77
Sm 0.3849 0.4904 0.7398  5 Th 3.52-3.62, 7 Sm 3.56-3.65
Sm 0.0555 0.3162 0.5727  1 Th 3.57, 9 Sm 3.57-3.65, 2 Ce 3.57
Th 0.7170 0.6582 0.9079  5 Sm 3.52-3.61, 6 Th 3.52-3.65, 1 Ce 3.54
Th 0.2830 0.3418 0.0921  5 Sm 3.52-3.61, 6 Th 3.52-3.65, 1 Ce 3.54
Th 0.0539 0.8212 0.0710  4 Ce 3.46-3.53, 5 Th 3.52-3.57, 3 Sm 3.57-3.62
Th 0.9461 0.1788 0.9290  4 Ce 3.46-3.53, 5 Th 3.52-3.57, 3 Sm 3.57-3.62

Calculated values
Formation energy from the elements (meV/atom): 72
Magnetic moment (Bohr magnetons per cell): 0.69
E (eV/atom): -5.750

=====

Here is crystalline Ce4SmTh at its relaxed geometry from Alexandria. Energies are from PBE.

abc: 6.2722 6.2722 6.2722
angles: 60.00 60.00 60.00
With the nearest neighbours (Å) after each atom.
Positions (direct):
Ce 0.6261 0.6261 0.1218  6 Ce 3.11-3.16
Ce 0.6261 0.1218 0.6261  6 Ce 3.11-3.16
Ce 0.6261 0.6261 0.6261  6 Ce 3.11-3.16
Ce 0.1218 0.6261 0.6261  6 Ce 3.11-3.16
Sm 0.2500 0.2500 0.2500  12 Ce 3.68, 4 Th 3.84
Th 0.0000 0.0000 0.0000  12 Ce 3.67, 4 Sm 3.84

Calculated values
Formation energy from the elements (meV/atom): 191
Magnetic moment (Bohr magnetons per cell): 2.93
E (eV/atom): -5.788

=====

Here is crystalline CeSm2Th at its relaxed geometry from Alexandria. Energies are from PBE.

abc: 5.7039 5.7039 5.7039
angles: 60.00 60.00 60.00
With the nearest neighbours (Å) after each atom.
Positions (direct):
Ce 0.5000 0.5000 0.5000  8 Sm 3.49
Sm 0.2500 0.2500 0.2500  4 Ce 3.49, 4 Th 3.49
Sm 0.7500 0.7500 0.7500  4 Ce 3.49, 4 Th 3.49
Th 0.0000 0.0000 0.0000  8 Sm 3.49

Calculated values
Distance to the lowest polymorph of the same formula (eV/atom): 0.147
Formation energy from the elements (meV/atom): 234
Magnetic moment (Bohr magnetons per cell): 0.83
E (eV/atom): -5.464

=====

Here is crystalline CeSmTh14 at its relaxed geometry from Alexandria. Energies are from PBE.

abc: 7.0943 7.0943 10.1452
angles: 90.00 90.00 90.00
With the nearest neighbours (Å) after each atom.
Positions (direct):
Ce 0.8749 0.1251 0.0000  12 Th 3.55-3.56
Sm 0.3750 0.6250 0.0000  12 Th 3.55-3.58
Th 0.3750 0.6250 0.5000  12 Th 3.55-3.58
Th 0.8750 0.1250 0.5000  12 Th 3.55-3.56
Th 0.8749 0.6249 0.0000  2 Ce 3.55, 2 Sm 3.55, 8 Th 3.57
Th 0.8751 0.6250 0.5000  12 Th 3.55-3.57
Th 0.3751 0.1251 0.0000  2 Ce 3.55, 2 Sm 3.55, 8 Th 3.57
Th 0.3750 0.1249 0.5000  12 Th 3.55-3.57
Th 0.6263 0.8763 0.7498  10 Th 3.53-3.58, 1 Ce 3.56, 1 Sm 3.58
Th 0.6263 0.8763 0.2502  10 Th 3.53-3.58, 1 Ce 3.56, 1 Sm 3.58
Th 0.1237 0.3737 0.7498  10 Th 3.53-3.58, 1 Ce 3.56, 1 Sm 3.58
Th 0.1237 0.3737 0.2502  10 Th 3.53-3.58, 1 Ce 3.56, 1 Sm 3.58
Th 0.1239 0.8761 0.7499  10 Th 3.53-3.57, 1 Ce 3.56, 1 Sm 3.58
Th 0.1239 0.8761 0.2501  10 Th 3.53-3.57, 1 Ce 3.56, 1 Sm 3.58
Th 0.6261 0.3739 0.7497  10 Th 3.53-3.57, 1 Ce 3.56, 1 Sm 3.58
Th 0.6261 0.3739 0.2503  10 Th 3.53-3.57, 1 Ce 3.56, 1 Sm 3.58

Calculated values
Formation energy from the elements (meV/atom): 37
Magnetic moment (Bohr magnetons per cell): 0.00
E (eV/atom): -7.121

=====

Here is crystalline Ce2SmTh at its relaxed geometry from Alexandria. Energies are from PBE.

abc: 4.9890 4.9082 4.9082
angles: 90.00 90.00 90.00
With the nearest neighbours (Å) after each atom.
Positions (direct):
Ce 0.0000 0.0000 0.5000  4 Ce 3.47, 4 Sm 3.50, 4 Th 3.50
Ce 0.0000 0.5000 0.0000  4 Ce 3.47, 4 Sm 3.50, 4 Th 3.50
Sm 0.5000 0.0000 0.0000  4 Th 3.47, 8 Ce 3.50
Th 0.5000 0.5000 0.5000  4 Sm 3.47, 8 Ce 3.50

Calculated values
Distance to the lowest polymorph of the same formula (eV/atom): 0.035
Formation energy from the elements (meV/atom): 92
Magnetic moment (Bohr magnetons per cell): 0.07
E (eV/atom): -5.909

=====

Here is crystalline CeSmTh2 at its relaxed geometry from Alexandria. Energies are from PBE.

abc: 3.4730 3.4730 12.4958
angles: 82.01 82.01 60.00
With the nearest neighbours (Å) after each atom.
Positions (direct):
Ce 0.5000 0.5000 0.5000  6 Ce 3.47, 6 Th 3.52
Sm 0.0000 0.0000 0.0000  2 Th 3.28, 6 Sm 3.47
Th 0.0885 0.0885 0.7344  1 Sm 3.28, 6 Th 3.47, 3 Ce 3.52
Th 0.9115 0.9115 0.2656  1 Sm 3.28, 6 Th 3.47, 3 Ce 3.52

Calculated values
Distance to the lowest polymorph of the same formula (eV/atom): 0.195
Formation energy from the elements (meV/atom): 237
Magnetic moment (Bohr magnetons per cell): 0.00
E (eV/atom): -6.136

=====

Here is crystalline CeSm14Th at its relaxed geometry from Alexandria. Energies are from PBE.

abc: 7.2333 7.2333 10.2654
angles: 90.00 90.00 90.00
With the nearest neighbours (Å) after each atom.
Positions (direct):
Ce 0.8752 0.1248 0.0000  12 Sm 3.61-3.62
Sm 0.3750 0.6250 0.5000  12 Sm 3.62-3.64
Sm 0.8749 0.1251 0.5000  12 Sm 3.62-3.65
Sm 0.8749 0.6249 0.0000  8 Sm 3.60, 2 Ce 3.62, 2 Th 3.62
Sm 0.8750 0.6250 0.5000  12 Sm 3.62-3.64
Sm 0.3751 0.1251 0.0000  8 Sm 3.60, 2 Ce 3.62, 2 Th 3.62
Sm 0.3750 0.1250 0.5000  12 Sm 3.62-3.64
Sm 0.6239 0.8739 0.7528  1 Th 3.59, 10 Sm 3.60-3.65, 1 Ce 3.61
Sm 0.6239 0.8739 0.2472  1 Th 3.59, 10 Sm 3.60-3.65, 1 Ce 3.61
Sm 0.1261 0.3761 0.7528  1 Th 3.59, 10 Sm 3.60-3.65, 1 Ce 3.61
Sm 0.1261 0.3761 0.2472  1 Th 3.59, 10 Sm 3.60-3.65, 1 Ce 3.61
Sm 0.1262 0.8738 0.7528  1 Th 3.59, 10 Sm 3.60-3.65, 1 Ce 3.61
Sm 0.1262 0.8738 0.2472  1 Th 3.59, 10 Sm 3.60-3.65, 1 Ce 3.61
Sm 0.6238 0.3762 0.7528  1 Th 3.60, 10 Sm 3.60-3.65, 1 Ce 3.61
Sm 0.6238 0.3762 0.2472  1 Th 3.60, 10 Sm 3.60-3.65, 1 Ce 3.61
Th 0.3749 0.6251 0.0000  12 Sm 3.59-3.62

Calculated values
Formation energy from the elements (meV/atom): 40
Magnetic moment (Bohr magnetons per cell): 1.14
E (eV/atom): -4.924

=====

Here is crystalline CeSm2Th at its relaxed geometry from Alexandria. Energies are from PBE.

abc: 3.5606 3.5606 11.8977
angles: 81.39 81.39 60.00
With the nearest neighbours (Å) after each atom.
Positions (direct):
Ce 0.6667 0.6667 0.9999  6 Sm 3.53, 6 Ce 3.56
Sm 0.0816 0.0816 0.7552  3 Ce 3.53, 6 Sm 3.56, 3 Th 3.63
Sm 0.2516 0.2516 0.2452  3 Ce 3.53, 6 Sm 3.56, 3 Th 3.62
Th 0.5001 0.5001 0.4997  6 Th 3.56, 6 Sm 3.62-3.63

Calculated values
Distance to the lowest polymorph of the same formula (eV/atom): 0.000
Formation energy from the elements (meV/atom): 86
Magnetic moment (Bohr magnetons per cell): 0.46
E (eV/atom): -5.612

=====

Here is crystalline CeSmTh2 at its relaxed geometry from Alexandria. Energies are from PBE.

abc: 4.9558 5.0317 5.0317
angles: 90.00 90.00 90.00
With the nearest neighbours (Å) after each atom.
Positions (direct):
Ce 0.5000 0.5000 0.5000  8 Th 3.53, 4 Sm 3.56
Sm 0.5000 0.0000 0.0000  8 Th 3.53, 4 Ce 3.56
Th 0.0000 0.0000 0.5000  4 Ce 3.53, 4 Sm 3.53, 4 Th 3.56
Th 0.0000 0.5000 0.0000  4 Ce 3.53, 4 Sm 3.53, 4 Th 3.56

Calculated values
Distance to the lowest polymorph of the same formula (eV/atom): 0.037
Formation energy from the elements (meV/atom): 79
Magnetic moment (Bohr magnetons per cell): 0.34
E (eV/atom): -6.294

=====

Here is crystalline CeSmTh2 at its relaxed geometry from Alexandria. Energies are from PBE.

abc: 3.5398 3.5398 10.0075
angles: 90.00 90.00 90.00
With the nearest neighbours (Å) after each atom.
Positions (direct):
Ce 0.5000 0.5000 0.0000  8 Th 3.47, 4 Ce 3.54
Sm 0.5000 0.5000 0.5000  4 Sm 3.54, 8 Th 3.61
Th 0.0000 0.0000 0.7599  4 Ce 3.47, 4 Th 3.54, 4 Sm 3.61
Th 0.0000 0.0000 0.2401  4 Ce 3.47, 4 Th 3.54, 4 Sm 3.61

Calculated values
Distance to the lowest polymorph of the same formula (eV/atom): 0.000
Formation energy from the elements (meV/atom): 42
Magnetic moment (Bohr magnetons per cell): 0.00
E (eV/atom): -6.331

=====

Here is crystalline CeSmTh3 at its relaxed geometry from Alexandria. Energies are from PBE.

abc: 3.5513 3.5513 28.9534
angles: 90.00 90.00 120.00
With the nearest neighbours (Å) after each atom.
Positions (direct):
Ce 0.3333 0.6667 0.7244  6 Th 3.46-3.50, 6 Ce 3.55
Ce 0.6667 0.3333 0.2244  6 Th 3.46-3.50, 6 Ce 3.55
Sm 0.0000 0.0000 0.0279  6 Sm 3.55, 6 Th 3.56-3.69
Sm 0.0000 0.0000 0.5279  6 Sm 3.55, 6 Th 3.56-3.69
Th 0.0000 0.0000 0.3222  3 Ce 3.50, 9 Th 3.54-3.55
Th 0.0000 0.0000 0.8222  3 Ce 3.50, 9 Th 3.54-3.55
Th 0.3333 0.6667 0.1284  3 Ce 3.46, 6 Th 3.55, 3 Sm 3.56
Th 0.6667 0.3333 0.6284  3 Ce 3.46, 6 Th 3.55, 3 Sm 3.56
Th 0.6667 0.3333 0.9221  9 Th 3.54-3.55, 3 Sm 3.69
Th 0.3333 0.6667 0.4221  9 Th 3.54-3.55, 3 Sm 3.69

Calculated values
Formation energy from the elements (meV/atom): 38
Magnetic moment (Bohr magnetons per cell): 0.00
E (eV/atom): -6.544

=====

Here is crystalline CeSmTh2 at its relaxed geometry from Alexandria. Energies are from PBE.

abc: 5.6280 5.6280 5.6280
angles: 60.00 60.00 60.00
With the nearest neighbours (Å) after each atom.
Positions (direct):
Ce 0.0000 0.0000 0.0000  8 Th 3.45
Sm 0.5000 0.5000 0.5000  8 Th 3.45
Th 0.2500 0.2500 0.2500  4 Ce 3.45, 4 Sm 3.45
Th 0.7500 0.7500 0.7500  4 Ce 3.45, 4 Sm 3.45

Calculated values
Distance to the lowest polymorph of the same formula (eV/atom): 0.165
Formation energy from the elements (meV/atom): 207
Magnetic moment (Bohr magnetons per cell): 0.00
E (eV/atom): -6.167

=====

Number 9 is which compound? CeSmTh2